Tl12HgPb4 | the Alexandria database | PBE-GGA | optimized geometry; DFT total energy = -2.501 eV/atom; spin magnetization = 0.00 μB per formula unit; E_form = 0.060 eV per atom; density of states at the Fermi level = 0.455 states/eV/atom
1.0
6.427 0.000 0.000
2.298 9.161 0.000
2.961 2.512 9.138
Tl Hg Pb
12 1 4
direct
0.093 0.404 0.343
0.173 0.758 0.281
0.229 0.771 0.766
0.288 0.285 0.833
0.387 0.102 0.153
0.399 0.147 0.558
0.601 0.853 0.442
0.613 0.898 0.847
0.712 0.715 0.167
0.771 0.229 0.234
0.827 0.242 0.719
0.907 0.596 0.657
0.000 0.500 0.000
0.000 0.000 0.000
0.000 0.000 0.500
0.500 0.500 0.000
0.500 0.500 0.500


Tl5Hg4Pb2 | the Alexandria database | PBE-GGA | optimized geometry; DFT total energy = -1.817 eV/atom; spin magnetization = 0.00 μB per formula unit; E_form = 0.043 eV per atom; density of states at the Fermi level = 0.268 states/eV/atom; relative energy among the computed polymorphs = 0 meV per atom
1.0
-1.815 5.123 9.157
1.815 -5.123 9.157
1.815 5.123 -9.157
Tl Hg Pb
5 4 2
direct
0.000 0.000 0.000
0.143 0.312 0.831
0.481 0.312 0.169
0.519 0.688 0.831
0.857 0.688 0.169
0.262 0.500 0.762
0.421 0.921 0.500
0.579 0.079 0.500
0.738 0.500 0.238
0.174 0.674 0.500
0.826 0.326 0.500


TlHg2Pb | the Alexandria database | PBE-GGA | optimized geometry; DFT total energy = -1.586 eV/atom; spin magnetization = 0.00 μB per formula unit; E_form = 0.084 eV per atom; density of states at the Fermi level = 1.194 states/eV/atom
1.0
7.720 0.000 0.000
0.000 7.720 0.000
0.000 0.000 7.720
Tl Hg Pb
4 8 4
direct
0.000 0.000 0.000
0.000 0.500 0.500
0.500 0.000 0.500
0.500 0.500 0.000
0.000 0.000 0.500
0.000 0.500 0.000
0.250 0.250 0.250
0.250 0.750 0.750
0.500 0.000 0.000
0.500 0.500 0.500
0.750 0.250 0.750
0.750 0.750 0.250
0.250 0.250 0.750
0.250 0.750 0.250
0.750 0.250 0.250
0.750 0.750 0.750


Tl3Hg6Pb2 | the Alexandria database | PBE-GGA | optimized geometry; DFT total energy = -1.456 eV/atom; spin magnetization = 0.00 μB per formula unit; E_form = 0.029 eV per atom; density of states at the Fermi level = 0.416 states/eV/atom
1.0
1.917 1.107 25.371
-1.917 1.107 25.371
0.000 -2.214 25.371
Tl Hg Pb
3 6 2
direct
0.000 0.000 0.000
0.272 0.272 0.272
0.728 0.728 0.728
0.092 0.092 0.092
0.180 0.180 0.180
0.364 0.364 0.364
0.636 0.636 0.636
0.820 0.820 0.820
0.908 0.908 0.908
0.456 0.456 0.456
0.544 0.544 0.544